[1]
A plane-wave DFT calculation with PBE-GGA was carried out for a relaxed CsNa2WS crystal.

Output
Its crystal system is tetragonal. Its theoretical density is 3.89 g/cm³. The calculation puts the formation energy from raw total energies at 0.454 eV per atom. As for the size of the total moment: 1.89 μB per formula unit. The value obtained for the calculated volume is 33.72 A^3/atom.

Cell: 6.0641 4.5852 6.0641 Å, 90.00 90.00 90.00°
Atoms (fractional coordinates):
S (0.0000, 0.5000, 0.0000)
W (0.0000, 0.0000, 0.0000)
Cs (0.5000, 0.5000, 0.5000)
Na (0.0000, 0.0000, 0.5000)
Na (0.5000, 0.0000, 0.0000)

[2]
A plane-wave DFT calculation with PBE-GGA was carried out for a relaxed CsNa2WS4 crystal.

Output
Its crystal system is tetragonal. Its theoretical density is 3.39 g/cm³. The calculation puts the formation energy from raw total energies at -0.902 eV per atom. As for the size of the total moment: 0.99 μB per formula unit. The value obtained for the calculated volume is 30.02 A^3/atom.

Cell: 7.3027 7.3027 6.8501 Å, 122.18 122.18 90.05°
Atoms (fractional coordinates):
W (0.4999, 0.4999, 0.9997)
S (0.8226, 0.4668, 0.2894)
S (0.1769, 0.1769, 0.7098)
Na (0.7506, 0.2506, 0.5012)
S (0.4668, 0.8226, 0.2894)
S (0.5329, 0.5329, 0.7098)
Na (0.2506, 0.7506, 0.5012)
Cs (0.0001, 0.0001, 0.0001)

[3]
A plane-wave DFT calculation with PBE-GGA was carried out for a relaxed CsNaYS2 crystal.

Output
Its crystal system is orthorhombic. Its theoretical density is 2.68 g/cm³. The calculation puts the formation energy from raw total energies at -1.214 eV per atom. As for the size of the total moment: 0.38 μB per formula unit. The value obtained for the calculated volume is 38.26 A^3/atom.

Cell: 6.4032 7.4811 8.8198 Å, 115.09 90.00 90.00°
Atoms (fractional coordinates):
S (0.3534, 0.1034, 0.2067)
S (0.6466, 0.8966, 0.7933)
S (0.6466, 0.6034, 0.2067)
Cs (0.2409, 0.7500, 0.5000)
Cs (0.7591, 0.2500, 0.5000)
Y (0.5000, 0.7500, 0.0000)
Na (0.0000, 0.5000, 0.0000)
Na (0.0000, 0.0000, 0.0000)
Y (0.5000, 0.2500, 0.0000)
S (0.3534, 0.3966, 0.7933)

[4]
A plane-wave DFT calculation with PBE-GGA was carried out for a relaxed CsNaZnS2 crystal.

Output
Its crystal system is orthorhombic. Its theoretical density is 3.13 g/cm³. The calculation puts the formation energy from raw total energies at -0.953 eV per atom. As for the size of the total moment: 0.00 μB per formula unit. The value obtained for the calculated volume is 30.31 A^3/atom.

Cell: 6.1798 6.6827 8.0637 Å, 114.48 90.00 90.00°
Atoms (fractional coordinates):
Na (0.5000, 0.7500, 0.0000)
Cs (0.7588, 0.2500, 0.5000)
S (0.2402, 0.3939, 0.7878)
Cs (0.2412, 0.7500, 0.5000)
S (0.2402, 0.1061, 0.2122)
Zn (0.0000, 0.0000, 0.0000)
Zn (0.0000, 0.5000, 0.0000)
S (0.7598, 0.8939, 0.7878)
Na (0.5000, 0.2500, 0.0000)
S (0.7598, 0.6061, 0.2122)

[5]
A plane-wave DFT calculation with PBE-GGA was carried out for a relaxed CsNaSb2 crystal.

Output
Its crystal system is orthorhombic. Its theoretical density is 4.43 g/cm³. The calculation puts the formation energy from raw total energies at -0.309 eV per atom. As for the size of the total moment: 0.00 μB per formula unit. The value obtained for the calculated volume is 37.45 A^3/atom. The calculation puts the energy above the most stable polymorph in this dataset at 50 meV per atom.

Cell: 5.8452 7.0197 8.0303 Å, 90.00 90.00 114.60°
Atoms (fractional coordinates):
Sb (0.6060, 0.2120, 0.4359)
Sb (0.6060, 0.2120, 0.0641)
Cs (0.9102, 0.8204, 0.2500)
Na (0.7988, 0.5975, 0.7500)
Na (0.2012, 0.4025, 0.2500)
Sb (0.3940, 0.7880, 0.9359)
Sb (0.3940, 0.7880, 0.5641)
Cs (0.0898, 0.1796, 0.7500)

[6]
A plane-wave DFT calculation with PBE-GGA was carried out for a relaxed Cs5NaSb2 crystal.

Output
Its crystal system is monoclinic. Its theoretical density is 3.46 g/cm³. The calculation puts the formation energy from raw total energies at -0.368 eV per atom. As for the size of the total moment: 0.00 μB per formula unit. The value obtained for the calculated volume is 55.87 A^3/atom.

Cell: 6.7073 6.8271 22.6384 Å, 97.04 89.99 119.43°
Atoms (fractional coordinates):
Cs (0.6540, 0.3078, 0.2544)
Sb (0.7058, 0.4118, 0.6230)
Cs (0.6527, 0.3053, 0.4494)
Na (0.3301, 0.6598, 0.2490)
Cs (0.9692, 0.9382, 0.3686)
Cs (0.0266, 0.0532, 0.1303)
Sb (0.3647, 0.7296, 0.1210)
Cs (0.9734, 0.9468, 0.8697)
Cs (0.3460, 0.6922, 0.7456)
Sb (0.2942, 0.5882, 0.3770)
Cs (0.6806, 0.3612, 0.0532)
Cs (0.3194, 0.6388, 0.9468)
Sb (0.6353, 0.2704, 0.8790)
Na (0.6699, 0.3402, 0.7510)
Cs (0.3473, 0.6947, 0.5506)
Cs (0.0308, 0.0618, 0.6314)

[7]
A plane-wave DFT calculation with PBE-GGA was carried out for a relaxed Cs3NaSb crystal.

Output
Its crystal system is cubic. Its theoretical density is 2.14 g/cm³. The calculation puts the formation energy from raw total energies at -0.089 eV per atom. As for the size of the total moment: 1.00 μB per formula unit. The value obtained for the calculated volume is 84.19 A^3/atom. The calculation puts the energy above the most stable polymorph in this dataset at 86 meV per atom.

Cell: 7.4944 7.4944 7.4944 Å, 90.00 90.00 90.00°
Atoms (fractional coordinates):
Cs (0.5000, 0.0000, 0.0000)
Cs (0.0000, 0.5000, 0.0000)
Sb (0.0000, 0.0000, 0.0000)
Cs (0.0000, 0.0000, 0.5000)
Na (0.5000, 0.5000, 0.5000)

[8]
A plane-wave DFT calculation with PBE-GGA was carried out for a relaxed CsNa2Sb crystal.

Output
Its crystal system is trigonal. Its theoretical density is 3.09 g/cm³. The calculation puts the formation energy from raw total energies at -0.402 eV per atom. As for the size of the total moment: 0.00 μB per formula unit. The value obtained for the calculated volume is 40.35 A^3/atom.

Cell: 5.4009 5.4009 7.1093 Å, 67.68 67.68 60.00°
Atoms (fractional coordinates):
Na (0.8022, 0.8022, 0.5933)
Na (0.1978, 0.1978, 0.4067)
Cs (0.0000, 0.0000, 0.0000)
Sb (0.5000, 0.5000, 0.5000)